A relaxed Sb3Se crystal, computed with PBE-GGA.

Energy above the most stable polymorph in this dataset = 205.0 meV/atom
Energy relative to the elements, uncorrected = 194 meV per atom

Cell and atoms, written as CIF:
```
data_Sb3Se
_chemical_formula_sum 'Sb3 Se1'
_cell_length_a 5.336
_cell_length_b 5.336
_cell_length_c 3.587
_cell_angle_alpha 90.00
_cell_angle_beta 90.00
_cell_angle_gamma 90.00
_symmetry_space_group_name_H-M 'P 4/m m m'
_symmetry_Int_Tables_number 123
_symmetry_space_group_name_Hall '-P 4 2'
loop_
_atom_site_label
_atom_site_type_symbol
_atom_site_fract_x
_atom_site_fract_y
_atom_site_fract_z
Sb1 Sb 0.000 0.000 0.000
Sb2 Sb 0.000 0.500 0.500
Se1 Se 0.500 0.500 0.000
```